Below is an optimized crystal structure of NaMn3Fe2O6, with properties calculated at the PBE with a Hubbard U level.

```
NaMn3Fe2O6
1.0
6.9256 -1.5424 0.0000
6.9256 1.5424 0.0000
-1.4348 0.0000 6.1045
Na Mn Fe O
1 3 2 6
Direct
0.0000 0.0000 0.0000
0.0000 0.0000 0.5000
0.3353 0.3353 0.1645
0.6647 0.6647 0.8355
0.3350 0.3350 0.6671
0.6650 0.6650 0.3329
0.1561 0.1561 0.5686
0.1734 0.1734 0.1002
0.4985 0.4985 0.2898
0.5015 0.5015 0.7102
0.8266 0.8266 0.8998
0.8439 0.8439 0.4314
```

Summary:
VASP energy, eV/atom: -6.83